Compound: LiLaGe2Pd4
Source: the Alexandria database
Functional: PBE
Structure: relaxed

Structure (POSCAR):
```
LiLaGe2Pd4
1.0
2.156 1.245 8.678
-2.156 1.245 8.678
0.000 -2.489 8.678
Li La Ge Pd
1 1 2 4
direct
0.000 0.000 0.000
0.500 0.500 0.500
0.264 0.264 0.264
0.736 0.736 0.736
0.096 0.096 0.096
0.366 0.366 0.366
0.634 0.634 0.634
0.904 0.904 0.904
```

Calculated values
N(E_F) = 0.616 states/eV per atom
density = 8521 kg/m3
total magnetic moment = 0.000 μB/atom
energy of formation = -66.94 kJ per mole of atoms